Entry 1:
The following is a PBE calculation of crystalline Sm6Sb3As2P at its relaxed geometry, from Alexandria.

## Properties
Formation energy (no corrections), meV per atom: -1338
Space group: C2/m, No. 12
Calculated density, g cm⁻³: 7.01
Magnetic moment, μB per cell: 0.00

Cell: 4.3056 8.6875 9.6951 Å, 103.71 102.83 90.00°
With the nearest neighbours (Å) after each atom.
Element x y z (fractional)
Sm 0.3396 0.9090 0.6793  1 P 2.94, 2 As 2.99, 3 Sb 3.13-3.16
Sm 0.6702 0.5741 0.3404  3 As 2.99-3.00, 3 Sb 3.12-3.13
Sm 0.6604 0.0910 0.3207  1 P 2.94, 2 As 2.99, 3 Sb 3.13-3.16
Sm 0.0030 0.2356 0.0060  2 P 2.96, 1 As 2.99, 3 Sb 3.13-3.16
Sm 0.9970 0.7644 0.9940  2 P 2.96, 1 As 2.99, 3 Sb 3.13-3.16
Sm 0.3298 0.4259 0.6596  3 As 2.99-3.00, 3 Sb 3.12-3.13
Sb 0.5000 0.5000 0.0000  6 Sm 3.12-3.16
Sb 0.8324 0.1659 0.6648  6 Sm 3.13-3.16
Sb 0.1676 0.8341 0.3352  6 Sm 3.13-3.16
As 0.8338 0.6673 0.6677  6 Sm 2.99-3.00
As 0.1662 0.3327 0.3323  6 Sm 2.99-3.00
P 0.5000 0.0000 0.0000  6 Sm 2.94-2.96

Entry 2:
The following is a PBE calculation of crystalline Co2Re at its relaxed geometry, from Alexandria.

## Properties
Polymorph energy (0 for the lowest one), eV/atom: 0.101
Space group: P6_3/mmc, No. 194
Calculated density, g cm⁻³: 14.38
Magnetic moment, μB per cell: 9.05
Energy of formation, eV per atom: 0.052

Cell: 4.6306 4.6306 15.1302 Å, 90.00 90.00 60.00°
With the nearest neighbours (Å) after each atom.
Element x y z (fractional)
Co 0.3333 0.3333 0.1260  6 Co 2.32-2.33
Co 0.6667 0.6667 0.8740  6 Co 2.32-2.33
Co 0.6667 0.6667 0.6260  6 Co 2.32-2.33
Co 0.3333 0.3333 0.3740  6 Co 2.32-2.33
Co 0.5000 0.5000 0.0000  6 Co 2.32-2.33
Co 0.0000 0.5000 0.0000  6 Co 2.32-2.33
Co 0.5000 0.0000 0.0000  6 Co 2.32-2.33
Co 0.5000 0.5000 0.5000  6 Co 2.32-2.33
Co 0.0000 0.5000 0.5000  6 Co 2.32-2.33
Co 0.5000 0.0000 0.5000  6 Co 2.32-2.33
Co 0.1628 0.1628 0.2500  6 Co 2.26-2.37
Co 0.6743 0.1628 0.2500  6 Co 2.26-2.37
Co 0.1628 0.6743 0.2500  6 Co 2.26-2.37
Co 0.8372 0.8372 0.7500  6 Co 2.26-2.37
Co 0.3257 0.8372 0.7500  6 Co 2.26-2.37
Co 0.8372 0.3257 0.7500  6 Co 2.26-2.37
Re 0.0000 0.0000 0.0900  12 Co 2.69-2.75, 4 Re 2.72-2.85
Re 0.0000 0.0000 0.9100  12 Co 2.69-2.75, 4 Re 2.72-2.85
Re 0.0000 0.0000 0.5900  12 Co 2.69-2.75, 4 Re 2.72-2.85
Re 0.0000 0.0000 0.4100  12 Co 2.69-2.75, 4 Re 2.72-2.85
Re 0.3333 0.3333 0.8447  12 Co 2.70-2.72, 4 Re 2.85-2.87
Re 0.6667 0.6667 0.1553  12 Co 2.70-2.72, 4 Re 2.85-2.87
Re 0.6667 0.6667 0.3447  12 Co 2.70-2.72, 4 Re 2.85-2.87
Re 0.3333 0.3333 0.6553  12 Co 2.70-2.72, 4 Re 2.85-2.87